1.
Material: Tb3EuO
Method: DFT, GGA-PBE
State: relaxed

Values from the calculation:
D(E_F) ... 5.08 states/eV per cell
E_form (uncorrected) ... -484 kJ/mol of formula units

Cell lengths 5.0049, 5.0049, 5.0049 Å; angles 90.00, 90.00, 90.00 degrees
Element x y z (fractional)
Tb  0.0000  0.0000  0.5000
Tb  0.0000  0.5000  0.0000
Tb  0.5000  0.0000  0.0000
Eu  0.5000  0.5000  0.5000
O  0.0000  0.0000  0.0000

2.
Material: Eu2Te4O11
Method: DFT, GGA-PBE
State: relaxed

Values from the calculation:
D(E_F) ... 50.86 states/eV per cell
E_form (uncorrected) ... -2609 kJ/mol of formula units

Cell lengths 6.8596, 6.8596, 16.6988 Å; angles 103.02, 103.02, 45.46 degrees
Element x y z (fractional)
Eu  0.1282  0.6322  0.9612
Eu  0.3678  0.8718  0.5388
Eu  0.6322  0.1282  0.4612
Eu  0.8718  0.3678  0.0388
Te  0.1506  0.5852  0.6242
Te  0.1620  0.5988  0.3013
Te  0.4012  0.8380  0.1987
Te  0.4148  0.8494  0.8758
Te  0.5852  0.1506  0.1242
Te  0.5988  0.1620  0.8013
Te  0.8380  0.4012  0.6987
Te  0.8494  0.4148  0.3758
O  0.0383  0.8206  0.5480
O  0.1033  0.1947  0.1693
O  0.1511  0.8489  0.2500
O  0.1794  0.9617  0.9520
O  0.1868  0.3218  0.3723
O  0.1947  0.1033  0.6693
O  0.2566  0.3268  0.0521
O  0.3218  0.1868  0.8723
O  0.3268  0.2566  0.5521
O  0.3988  0.5543  0.3977
O  0.4457  0.6012  0.1023
O  0.5543  0.3988  0.8977
O  0.6012  0.4457  0.6023
O  0.6732  0.7434  0.4479
O  0.6782  0.8132  0.1277
O  0.7434  0.6732  0.9479
O  0.8053  0.8967  0.3307
O  0.8132  0.6782  0.6277
O  0.8206  0.0383  0.0480
O  0.8489  0.1511  0.7500
O  0.8967  0.8053  0.8307
O  0.9617  0.1794  0.4520

3.
Material: Eu2TeO2
Method: DFT, GGA-PBE
State: relaxed

Values from the calculation:
D(E_F) ... 10.09 states/eV per cell
E_form (uncorrected) ... -1137 kJ/mol of formula units

Cell lengths 7.3559, 7.3559, 7.3559 Å; angles 148.26, 148.26, 45.50 degrees
Element x y z (fractional)
Eu  0.1673  0.1673  0.0000
Eu  0.8327  0.8327  0.0000
Te  0.5000  0.5000  0.0000
O  0.2500  0.7500  0.5000
O  0.7500  0.2500  0.5000